No. 1
# Sr2LiBr

An optimized crystal structure of Sr2LiBr (PBE, Alexandria via LeMat-Bulk).

abc: 3.9747 3.9747 10.6131
angles: 90.00 90.00 90.00
Last column: nearest neighbours and their distance in Å.
Sites, in units of the cell vectors:
Sr  0.0000  0.0000  0.0000  4 Li 3.78, 4 Sr 3.97
Sr  0.5000  0.5000  0.3165  4 Br 3.25
Li  0.5000  0.5000  0.7619  4 Sr 3.78, 4 Li 3.97, 4 Br 4.18
Br  0.0000  0.0000  0.4698  4 Sr 3.25

The space-group type is P4mm. For the energy relative to the elements, uncorrected, the calculation gives -595 meV per atom.


No. 2
# Sr2LiBr

An optimized crystal structure of Sr2LiBr (PBE, Alexandria via LeMat-Bulk).

abc: 7.5872 7.5872 7.5872
angles: 109.26 109.26 109.89
Last column: nearest neighbours and their distance in Å.
Sites, in units of the cell vectors:
Sr  0.1004  0.6250  0.9754  2 Br 3.15, 2 Li 3.44
Sr  0.3750  0.3504  0.4754  2 Br 3.15, 2 Li 3.44
Sr  0.6496  0.1250  0.0246  2 Br 3.15, 2 Li 3.44
Sr  0.8750  0.8996  0.5246  2 Br 3.15, 2 Li 3.44
Li  0.2500  0.7500  0.5000  4 Sr 3.44
Li  0.5000  0.5000  0.0000  4 Sr 3.44
Br  0.0000  0.0000  0.0000  4 Sr 3.15
Br  0.7500  0.2500  0.5000  4 Sr 3.15

The space-group type is I-42d. For the energy relative to the elements, uncorrected, the calculation gives -542 meV per atom.


No. 3
# Sr2LiBr2

An optimized crystal structure of Sr2LiBr2 (PBE, Alexandria via LeMat-Bulk).

abc: 6.3518 6.3518 6.3518
angles: 119.81 119.81 90.33
Last column: nearest neighbours and their distance in Å.
Sites, in units of the cell vectors:
Sr  0.2500  0.7500  0.5000  4 Br 3.21
Sr  0.7500  0.2500  0.5000  4 Br 3.21
Li  0.0000  0.0000  0.0000  2 Br 2.61
Br  0.2915  0.2915  0.0000  1 Li 2.61
Br  0.7085  0.7085  0.0000  1 Li 2.61

The space-group type is I4/mmm. For the energy relative to the elements, uncorrected, the calculation gives -983 meV per atom.


No. 4
# Sr2LiBr

An optimized crystal structure of Sr2LiBr (PBE, Alexandria via LeMat-Bulk).

abc: 7.7586 7.7586 7.7586
angles: 144.56 144.56 50.99
Last column: nearest neighbours and their distance in Å.
Sites, in units of the cell vectors:
Sr  0.0000  0.0000  0.0000  4 Li 3.34
Sr  0.7500  0.2500  0.5000  4 Br 3.34
Li  0.5000  0.5000  0.0000  4 Sr 3.34
Br  0.2500  0.7500  0.5000  4 Sr 3.34

The space-group type is I-4m2. For the energy relative to the elements, uncorrected, the calculation gives -515 meV per atom.


No. 5
# SrLiBr2

An optimized crystal structure of SrLiBr2 (PBE, Alexandria via LeMat-Bulk).

abc: 8.3005 8.3005 8.3005
angles: 28.05 28.05 28.05
Last column: nearest neighbours and their distance in Å.
Sites, in units of the cell vectors:
Sr  0.0000  0.0000  0.0000  6 Br 3.36
Li  0.5000  0.5000  0.5000  6 Br 2.80
Br  0.2319  0.2319  0.2319  3 Li 2.80
Br  0.7681  0.7681  0.7681  3 Li 2.80

The space-group type is R-3m. For the energy relative to the elements, uncorrected, the calculation gives -1405 meV per atom.


No. 6
# Sr2Li3Br7

An optimized crystal structure of Sr2Li3Br7 (PBE, Alexandria via LeMat-Bulk).

abc: 14.0386 14.0386 7.3731
angles: 90.00 90.00 30.83
Last column: nearest neighbours and their distance in Å.
Sites, in units of the cell vectors:
Sr  0.1367  0.6520  0.5000  6 Br 3.01-3.23
Sr  0.3480  0.8633  0.5000  6 Br 3.01-3.23
Sr  0.6520  0.1367  0.0000  6 Br 3.01-3.23
Sr  0.8633  0.3480  0.0000  6 Br 3.01-3.23
Li  0.0893  0.4806  0.9900  4 Br 2.59-2.71
Li  0.2214  0.7786  0.0046  4 Br 2.55-2.73
Li  0.4806  0.0893  0.4900  4 Br 2.59-2.71
Li  0.5194  0.9107  0.9900  4 Br 2.59-2.71
Li  0.7786  0.2214  0.5046  4 Br 2.55-2.73
Li  0.9107  0.5194  0.4900  4 Br 2.59-2.71
Br  0.0386  0.2580  0.6473  1 Li 2.59
Br  0.1031  0.8969  0.3548  2 Li 2.66-2.73
Br  0.1645  0.4158  0.6294  3 Li 2.61-2.71
Br  0.2580  0.0386  0.1473  1 Li 2.59
Br  0.3285  0.5328  0.8529  1 Li 2.55
Br  0.4158  0.1645  0.1294  3 Li 2.61-2.71
Br  0.4672  0.6715  0.8529  1 Li 2.55
Br  0.5328  0.3285  0.3529  1 Li 2.55
Br  0.5842  0.8355  0.6294  3 Li 2.61-2.71
Br  0.6715  0.4672  0.3529  1 Li 2.55
Br  0.7420  0.9614  0.6473  1 Li 2.59
Br  0.8355  0.5842  0.1294  3 Li 2.61-2.71
Br  0.8969  0.1031  0.8548  2 Li 2.66-2.73
Br  0.9614  0.7420  0.1473  1 Li 2.59

The space-group type is Cmc2_1. For the energy relative to the elements, uncorrected, the calculation gives -1784 meV per atom.


No. 7
# Sr3LiBr

An optimized crystal structure of Sr3LiBr (PBE, Alexandria via LeMat-Bulk).

abc: 6.1506 6.1506 6.1506
angles: 90.00 90.00 90.00
Last column: nearest neighbours and their distance in Å.
Sites, in units of the cell vectors:
Sr  0.0000  0.0000  0.5000  2 Br 3.08
Sr  0.0000  0.5000  0.0000  2 Br 3.08
Sr  0.5000  0.0000  0.0000  2 Br 3.08
Li  0.5000  0.5000  0.5000  12 Sr 4.35
Br  0.0000  0.0000  0.0000  6 Sr 3.08

The space-group type is Pm-3m. For the energy relative to the elements, uncorrected, the calculation gives -329 meV per atom.


No. 8
# SrLiBr2

An optimized crystal structure of SrLiBr2 (PBE, Alexandria via LeMat-Bulk).

abc: 5.7630 5.7630 5.7630
angles: 139.16 114.02 80.58
Last column: nearest neighbours and their distance in Å.
Sites, in units of the cell vectors:
Sr  0.0000  0.0000  0.0000  8 Br 3.32-3.59
Li  0.5000  0.5000  0.0000  4 Br 2.66
Br  0.3011  0.8011  0.5000  2 Li 2.66
Br  0.6989  0.1989  0.5000  2 Li 2.66

The space-group type is Immm. For the energy relative to the elements, uncorrected, the calculation gives -1316 meV per atom.


Question: Which formula does entry 5 have?
Answer: SrLiBr2